DFT (GGA+U) results for a relaxed NaCrHF2 crystal.

Size of the total moment   1.162 μB per atom
Electronic total energy   -3.836 eV per atom
V   64.5 Å³/cell

Cell lengths 4.3263, 3.4464, 4.3263 Å; angles 90.00, 90.00, 90.00 degrees
Last column: nearest neighbours and their distance in Å.
Fractional coordinates of all 5 atoms:
Na1 0.0000 0.5000 0.0000  2 H 1.72
F1 0.0000 0.0000 0.5000  2 H 2.16
F2 0.5000 0.0000 0.0000  2 H 2.16
Cr1 0.5000 0.5000 0.5000  8 F 2.77, 4 Na 3.06
H1 0.0000 0.0000 0.0000  2 Na 1.72